No. 1
{"formula": "PmYSeS", "functional": "PBE", "state": "optimized geometry", "sg": "No. 160", "e_form_raw_ev_per_atom": -1.91, "e_tot_ev_per_atom": -6.6131, "crystal_system": "trigonal", "lattice": [[1.9802, 1.1433, 7.0338], [-1.9802, 1.1433, 7.0338], [0.0000, -2.2865, 7.0338]], "species": ["Pm", "Y", "Se", "S"], "fractional_positions": [[0.0000, 0.0000, 0.0000], [0.1846, 0.1846, 0.1846], [0.4273, 0.4273, 0.4273], [0.5909, 0.5909, 0.5909]]}



No. 2
{"formula": "Pm8ZnSe4S3", "functional": "PBE", "state": "optimized geometry", "sg": "No. 166", "e_form_raw_ev_per_atom": -1.72, "e_tot_ev_per_atom": -5.8229, "crystal_system": "trigonal", "lattice": [[4.1186, 2.3779, 6.8468], [-4.1186, 2.3779, 6.8468], [0.0000, -4.7558, 6.8468]], "species": ["Pm", "Pm", "Pm", "Pm", "Pm", "Pm", "Pm", "Pm", "Zn", "Se", "Se", "Se", "Se", "S", "S", "S"], "fractional_positions": [[0.2419, 0.7481, 0.7481], [0.2432, 0.2432, 0.2432], [0.2519, 0.2519, 0.7581], [0.2519, 0.7581, 0.2519], [0.7481, 0.2419, 0.7481], [0.7481, 0.7481, 0.2419], [0.7568, 0.7568, 0.7568], [0.7581, 0.2519, 0.2519], [0.5000, 0.5000, 0.5000], [0.0000, 0.0000, 0.0000], [0.0000, 0.5000, 0.5000], [0.5000, 0.0000, 0.5000], [0.5000, 0.5000, 0.0000], [0.0000, 0.0000, 0.5000], [0.0000, 0.5000, 0.0000], [0.5000, 0.0000, 0.0000]]}



No. 3
{"formula": "Pm2SiS", "functional": "PBE", "state": "optimized geometry", "sg": "No. 63", "e_form_raw_ev_per_atom": -1.41, "e_tot_ev_per_atom": -6.1711, "crystal_system": "orthorhombic", "de_polymorph_ev_per_atom": 0.000, "lattice": [[2.1091, -11.2251, 0.0000], [2.1091, 11.2251, 0.0000], [0.0000, 0.0000, 3.9739]], "species": ["Pm", "Pm", "Pm", "Pm", "Si", "Si", "S", "S"], "fractional_positions": [[0.0675, 0.9325, 0.7500], [0.3149, 0.6851, 0.7500], [0.6851, 0.3149, 0.2500], [0.9325, 0.0675, 0.2500], [0.4637, 0.5363, 0.7500], [0.5363, 0.4637, 0.2500], [0.1906, 0.8094, 0.7500], [0.8094, 0.1906, 0.2500]]}